6
Lattice="-1.1038 1.5821 3.9953 -0.9311 -4.1150 1.3723 6.8399 -0.8105 2.2106" Properties=species:S:1:pos:R:3 comment="PBE BaHCl, optimized geometry" space_group="P4/nmm (129)" magnetic_moment_mub_per_cell=0.000 polymorph_energy_mev_per_atom=0 pbc="T T T"
Ba 0.8995 -0.8001 1.7970
Ba 3.9054 -2.5433 5.7812
Cl 3.9742 -1.1644 2.7908
Cl 0.8307 -2.1790 4.7874
H -1.0606 0.1578 3.3395
H -0.9743 -2.6907 2.0280